Record 1
Density functional theory data (PBE) for NdY2ScS6 after structural relaxation.

```
data_NdY2ScS6
_space_group_name_H-M_alt 'R 3'
_space_group_IT_number 146
_space_group_name_Hall 'R 3'
_cell_length_a 6.8849
_cell_length_b 6.8849
_cell_length_c 18.4009
_cell_angle_alpha 90.00
_cell_angle_beta 90.00
_cell_angle_gamma 120.00
loop_
_atom_site_label
_atom_site_fract_x
_atom_site_fract_y
_atom_site_fract_z
Nd1 0.0000 0.0000 0.0000
Y1 0.0000 0.0000 0.2910
Y2 0.0000 0.0000 0.7971
Sc1 0.0000 0.0000 0.4911
S1 0.0118 0.7168 0.3968
S2 0.0306 0.3450 0.5602
```

## Properties
ΔE_f (raw)   -1.988 eV/atom
Total moment   0.0 μB per formula unit


Record 2
Density functional theory data (PBE) for Nd2YScS6 after structural relaxation.

```
data_Nd2YScS6
_space_group_name_H-M_alt 'R 3'
_space_group_IT_number 146
_space_group_name_Hall 'R 3'
_cell_length_a 6.9641
_cell_length_b 6.9641
_cell_length_c 18.2195
_cell_angle_alpha 90.00
_cell_angle_beta 90.00
_cell_angle_gamma 120.00
loop_
_atom_site_label
_atom_site_fract_x
_atom_site_fract_y
_atom_site_fract_z
Nd1 0.0000 0.0000 0.0000
Nd2 0.0000 0.0000 0.4983
Y1 0.0000 0.0000 0.2071
Sc1 0.0000 0.0000 0.7046
S1 0.0501 0.3434 0.7760
S2 0.0572 0.6938 0.2791
```

## Properties
ΔE_f (raw)   -1.984 eV/atom
Total moment   0.0 μB per formula unit


Record 3
Density functional theory data (PBE) for Nd5Se2S2 after structural relaxation.

```
data_Nd5Se2S2
_space_group_name_H-M_alt 'C m c e'
_space_group_IT_number 64
_space_group_name_Hall '-C 2ac 2'
_cell_length_a 14.696
_cell_length_b 7.775
_cell_length_c 7.839
_cell_angle_alpha 90.00
_cell_angle_beta 90.00
_cell_angle_gamma 90.00
loop_
_atom_site_label
_atom_site_fract_x
_atom_site_fract_y
_atom_site_fract_z
Nd1 0.000 0.000 0.000
Nd2 0.141 0.160 0.351
Se1 0.000 0.146 0.647
S1 0.194 0.000 0.000
```

## Properties
ΔE_f (raw)   -1.492 eV/atom
Total moment   0.0 μB per formula unit